(1)
Material: MgZnW2
Method: DFT, PBE-GGA
State: optimized geometry

- offset from the most stable computed form (eV per atom) = 0.686

Cell: 6.3187 6.3187 6.3187 Å, 90.00 90.00 90.00°
Element x y z (fractional)
Mg (0.0000, 0.0000, 0.0000)
Mg (0.0000, 0.5000, 0.5000)
Mg (0.5000, 0.0000, 0.5000)
Mg (0.5000, 0.5000, 0.0000)
Zn (0.0000, 0.0000, 0.5000)
Zn (0.0000, 0.5000, 0.0000)
Zn (0.5000, 0.0000, 0.0000)
Zn (0.5000, 0.5000, 0.5000)
W (0.2500, 0.2500, 0.2500)
W (0.2500, 0.2500, 0.7500)
W (0.2500, 0.7500, 0.2500)
W (0.2500, 0.7500, 0.7500)
W (0.7500, 0.2500, 0.2500)
W (0.7500, 0.2500, 0.7500)
W (0.7500, 0.7500, 0.2500)
W (0.7500, 0.7500, 0.7500)

(2)
Material: MgZr2W
Method: DFT, PBE-GGA
State: optimized geometry

Cell: 10.2289 2.9233 5.4517 Å, 90.00 98.10 90.00°
Element x y z (fractional)
Mg (0.0000, 0.0000, 0.0000)
Mg (0.5000, 0.5000, 0.0000)
Zr (0.0165, 0.5000, 0.5206)
Zr (0.2545, 0.5000, 0.2374)
Zr (0.5165, 0.0000, 0.5206)
Zr (0.7545, 0.0000, 0.2374)
W (0.2650, 0.0000, 0.7459)
W (0.7650, 0.5000, 0.7459)

(3)
Material: MgZr2W
Method: DFT, PBE-GGA
State: optimized geometry

Cell: 3.5237 3.5237 6.5229 Å, 90.00 90.00 90.00°
Element x y z (fractional)
Mg (0.0000, 0.0000, 0.0000)
Zr (0.0000, 0.0000, 0.4526)
Zr (0.5000, 0.5000, 0.7216)
W (0.5000, 0.5000, 0.2413)

(4)
Material: MgZrW2
Method: DFT, PBE-GGA
State: optimized geometry

Cell: 3.9528 3.9528 4.6165 Å, 90.00 90.00 90.00°
Element x y z (fractional)
Mg (0.0000, 0.0000, 0.0000)
Zr (0.5000, 0.5000, 0.0000)
W (0.0000, 0.5000, 0.5000)
W (0.5000, 0.0000, 0.5000)

(5)
Material: MgZrW2
Method: DFT, PBE-GGA
State: optimized geometry

Cell: 9.5581 2.7396 5.5952 Å, 90.00 92.68 90.00°
Element x y z (fractional)
Mg (0.0000, 0.0000, 0.0000)
Mg (0.5000, 0.5000, 0.0000)
Zr (0.2511, 0.5000, 0.2591)
Zr (0.7511, 0.0000, 0.2591)
W (0.0022, 0.5000, 0.5279)
W (0.2564, 0.0000, 0.7493)
W (0.5022, 0.0000, 0.5279)
W (0.7564, 0.5000, 0.7493)

(6)
Material: MgZr4W
Method: DFT, PBE-GGA
State: optimized geometry

Cell: 5.6987 5.6987 5.6987 Å, 60.00 60.00 60.00°
Element x y z (fractional)
Mg (0.0000, 0.0000, 0.0000)
Zr (0.3773, 0.3773, 0.3773)
Zr (0.3773, 0.3773, 0.8681)
Zr (0.3773, 0.8681, 0.3773)
Zr (0.8681, 0.3773, 0.3773)
W (0.7500, 0.7500, 0.7500)

(7)
Material: MgZrW2
Method: DFT, PBE-GGA
State: optimized geometry

Cell: 3.3229 4.5021 9.6354 Å, 90.00 90.00 90.00°
Element x y z (fractional)
Mg (0.0000, 0.0000, 0.0000)
Mg (0.5000, 0.5000, 0.0000)
Zr (0.0000, 0.0000, 0.5000)
Zr (0.5000, 0.5000, 0.5000)
W (0.0000, 0.5000, 0.2474)
W (0.0000, 0.5000, 0.7526)
W (0.5000, 0.0000, 0.2474)
W (0.5000, 0.0000, 0.7526)

(8)
Material: MgZr3W
Method: DFT, PBE-GGA
State: optimized geometry

- offset from the most stable computed form (eV per atom) = 0.943

Cell: 4.9150 4.9150 4.9150 Å, 90.00 90.00 90.00°
Element x y z (fractional)
Mg (0.0000, 0.0000, 0.0000)
Zr (0.0000, 0.0000, 0.5000)
Zr (0.0000, 0.5000, 0.0000)
Zr (0.5000, 0.0000, 0.0000)
W (0.5000, 0.5000, 0.5000)

Number 1: ΔE_f 0.8897 eV/atom, total magnetic moment 0.00 μB per cell. Number 2: ΔE_f 0.2877 eV/atom, total magnetic moment 0.00 μB per cell. Number 3: ΔE_f 0.2987 eV/atom, total magnetic moment 0.00 μB per cell. Number 4: ΔE_f 0.3693 eV/atom, total magnetic moment 0.00 μB per cell. Number 5: ΔE_f 0.4185 eV/atom, total magnetic moment 0.00 μB per cell. Number 6: ΔE_f 0.5994 eV/atom, total magnetic moment 0.00 μB per cell. Number 7: ΔE_f 0.3473 eV/atom, total magnetic moment 0.00 μB per cell. Number 8: ΔE_f 1.6848 eV/atom, total magnetic moment 0.00 μB per cell.